(1)
Crystalline LaFeAsW2 at its relaxed geometry. Source: Alexandria via LeMat-Bulk, functional GGA-PBE.

```
LaFeAsW2
1.0
4.933 0.000 0.000
0.000 4.488 0.000
0.000 0.000 4.933
La As W Fe
1 1 2 1
Direct
0.000 0.000 0.000
0.500 0.500 0.500
0.000 0.000 0.500
0.500 0.000 0.000
0.000 0.500 0.000
```

Properties
ρ ... 9.7 g/cm³
E_tot ... -30.80 eV per cell
Space group ... No. 123
ΔH_f (0 K) ... 2.629 eV per atom
Crystal system ... tetragonal
Density of states at the Fermi level ... 1.35 states/eV/atom


(2)
Crystalline CdSi2Ni at its relaxed geometry. Source: Alexandria via LeMat-Bulk, functional GGA-PBE.

```
CdSi2Ni
1.0
4.332 0.013 -0.008
3.430 2.646 -0.008
2.001 0.686 5.812
Ni Cd Si
1 1 2
Direct
0.247 0.247 0.090
0.557 0.557 0.498
0.960 0.960 0.122
0.737 0.737 0.790
```

Properties
ρ ... 5.7 g/cm³
ΔE_f (raw) ... 0.052 eV/atom
E_tot ... -17.33 eV per cell
Space group ... No. 8
Crystal system ... monoclinic
Density of states at the Fermi level ... 0.42 states/eV/atom


(3)
Crystalline Li2CuF4 at its relaxed geometry. Source: Alexandria via LeMat-Bulk, functional GGA-PBE.

```
Li2CuF4
1.0
5.662 0.003 0.000
-1.382 5.491 0.000
-2.140 -2.747 4.464
F Li Cu
8 4 2
Direct
0.089 0.381 0.292
0.661 0.453 0.792
0.661 0.869 0.208
0.131 0.339 0.792
0.547 0.339 0.208
0.619 0.911 0.708
0.203 0.911 0.292
0.089 0.797 0.708
0.875 0.625 0.250
0.375 0.625 0.250
0.375 0.125 0.750
0.375 0.625 0.750
0.000 0.000 0.000
0.750 0.250 0.500
```

Properties
ρ ... 3.7 g/cm³
ΔE_f (raw) ... -2.302 eV/atom
E_tot ... -63.04 eV per cell
Space group ... No. 141
Crystal system ... tetragonal
Density of states at the Fermi level ... 0.03 states/eV/atom